Computed, not measured: crystalline InSn5 at its relaxed geometry at the PBE-GGA level of DFT.

Results
**DFT formation energy**: 0.05 eV/atom
**M_tot**: 0.000 μB per cell
**E above lowest polymorph**: 8.5 meV/atom
**Symmetry**: Cmmm, No. 65
**Total energy**: -3.7395 eV per atom

```
6
Lattice="4.6705 0.0000 0.0000 0.0000 4.5481 0.0000 0.0000 -2.2741 7.8155" Properties=species:S:1:pos:R:3 pbc="T T T"
Sn 0.0000 2.2741 2.1723
In 0.0000 2.2741 7.3815
Sn 2.3352 0.0000 2.1676
Sn 0.0000 0.0000 4.7778
Sn 2.3352 2.2741 4.7771
Sn 2.3352 0.0000 7.3807
```

---

Computed, not measured: crystalline InSn3 at its relaxed geometry at the PBE-GGA level of DFT.

Results
**DFT formation energy**: 0.05 eV/atom
**M_tot**: 0.000 μB per cell
**Symmetry**: Pmm2, No. 25
**Total energy**: -3.6342 eV per atom

```
4
Lattice="4.4801 0.0000 0.0000 0.0000 5.0803 0.0000 0.0000 0.0000 4.8367" Properties=species:S:1:pos:R:3 pbc="T T T"
In 0.0000 2.5402 1.9399
Sn 2.2400 0.0000 2.1020
Sn 2.2400 2.5402 4.3120
Sn 0.0000 0.0000 4.5440
```

---

Computed, not measured: crystalline InSn3 at its relaxed geometry at the PBE-GGA level of DFT.

Results
**DFT formation energy**: 0.05 eV/atom
**M_tot**: 0.000 μB per cell
**Symmetry**: P-6m2, No. 187
**Total energy**: -3.6364 eV per atom

```
4
Lattice="-2.3098 -1.2738 2.0435 -0.3102 -0.3647 -3.3022 5.8593 -9.7754 0.5294" Properties=species:S:1:pos:R:3 pbc="T T T"
Sn 1.2864 -5.8585 0.5263
In -1.6433 -0.9708 0.2616
Sn 3.4212 -8.0051 -1.1230
Sn 0.4846 -3.1058 -1.3883
```

---

Computed, not measured: crystalline In11Sn at its relaxed geometry at the PBE-GGA level of DFT.

Results
**DFT formation energy**: 0.02 eV/atom
**M_tot**: 0.000 μB per cell
**Symmetry**: P6/mmm, No. 191
**Total energy**: -2.8220 eV per atom

```
12
Lattice="3.2188 0.0000 0.0000 0.0000 9.4028 -5.4287 0.0000 0.0000 10.8573" Properties=species:S:1:pos:R:3 pbc="T T T"
Sn 0.0000 0.0000 0.0000
In 1.6094 1.5969 8.0915
In 0.0000 4.7014 2.7143
In 1.6094 6.2090 5.4287
In 0.0000 0.0000 5.4287
In 1.6094 7.8059 -2.6628
In 1.6094 3.1938 0.0000
In 0.0000 6.2685 0.0000
In 1.6094 7.8059 2.6628
In 1.6094 1.5969 2.7659
In 0.0000 3.1343 5.4287
In 0.0000 4.7014 -2.7143
```

---

Computed, not measured: crystalline InSn at its relaxed geometry at the PBE-GGA level of DFT.

Results
**DFT formation energy**: 0.34 eV/atom
**M_tot**: 0.000 μB per cell
**Symmetry**: I-43m, No. 217
**Total energy**: -3.0331 eV per atom

```
16
Lattice="9.1336 0.0000 0.0000 0.0000 9.1336 0.0000 0.0000 0.0000 9.1336" Properties=species:S:1:pos:R:3 pbc="T T T"
Sn 7.6810 7.6810 7.6810
Sn 1.4526 7.6810 1.4526
Sn 7.6810 1.4526 1.4526
Sn 3.1142 6.0194 6.0194
In 7.6470 1.4866 7.6470
In 3.0802 3.0802 6.0534
Sn 3.1142 3.1142 3.1142
Sn 1.4526 1.4526 7.6810
In 1.4866 1.4866 1.4866
In 3.0802 6.0534 3.0802
In 6.0534 6.0534 6.0534
Sn 6.0194 6.0194 3.1142
In 6.0534 3.0802 3.0802
Sn 6.0194 3.1142 6.0194
In 7.6470 7.6470 1.4866
In 1.4866 7.6470 7.6470
```

---

Computed, not measured: crystalline In5Sn3 at its relaxed geometry at the PBE-GGA level of DFT.

Results
**DFT formation energy**: 0.04 eV/atom
**M_tot**: 0.000 μB per cell
**Symmetry**: P4/mmm, No. 123
**Total energy**: -3.1689 eV per atom

```
8
Lattice="-3.2502 0.7175 -1.4999 -1.6556 -1.0925 3.0649 0.6926 15.3808 5.8566" Properties=species:S:1:pos:R:3 pbc="T T T"
In 0.5196 11.5392 4.3938
In -2.1921 5.6036 2.9877
Sn 0.3463 7.6904 2.9283
Sn -1.8454 13.3026 5.9192
In 0.0000 0.0000 0.0000
Sn -2.3678 1.7031 1.5024
In -2.0211 9.4021 4.4340
In 0.1730 3.8416 1.4628
```

---

Repeat the fourth record exactly.
Computed, not measured: crystalline In11Sn at its relaxed geometry at the PBE-GGA level of DFT.

Results
**DFT formation energy**: 0.02 eV/atom
**M_tot**: 0.000 μB per cell
**Symmetry**: P6/mmm, No. 191
**Total energy**: -2.8220 eV per atom

```
12
Lattice="3.2188 0.0000 0.0000 0.0000 9.4028 -5.4287 0.0000 0.0000 10.8573" Properties=species:S:1:pos:R:3 pbc="T T T"
Sn 0.0000 0.0000 0.0000
In 1.6094 1.5969 8.0915
In 0.0000 4.7014 2.7143
In 1.6094 6.2090 5.4287
In 0.0000 0.0000 5.4287
In 1.6094 7.8059 -2.6628
In 1.6094 3.1938 0.0000
In 0.0000 6.2685 0.0000
In 1.6094 7.8059 2.6628
In 1.6094 1.5969 2.7659
In 0.0000 3.1343 5.4287
In 0.0000 4.7014 -2.7143
```

---

Look up the M_tot of the third one. 0.000 μB per cell

---

What is the formula in the sixth record? In5Sn3